(1)
Compound: TaTe2Au
Source: the Alexandria database
Functional: PBEsol
Structure: relaxed

The structure in CIF format:
```
data_TaTe2Au
_cell_length_a 4.1212
_cell_length_b 4.1212
_cell_length_c 9.9089
_cell_angle_alpha 90.00
_cell_angle_beta 90.00
_cell_angle_gamma 90.00
_space_group_name_H-M_alt 'I -4 m 2'
_space_group_IT_number 119
_space_group_name_Hall 'I -4 -2'
loop_
_atom_site_label
_atom_site_type_symbol
_atom_site_fract_x
_atom_site_fract_y
_atom_site_fract_z
Ta1 Ta 0.0000 0.0000 0.0000
Te1 Te 0.0000 0.0000 0.5000
Te2 Te 0.0000 0.5000 0.2500
Au1 Au 0.0000 0.5000 0.7500
```

Output
offset from the most stable computed form	431.6	meV/atom
E	-43.50	eV/cell

---

(2)
Compound: TaTl2Au
Source: the Alexandria database
Functional: PBEsol
Structure: relaxed

The structure in CIF format:
```
data_TaTl2Au
_cell_length_a 3.0731
_cell_length_b 4.0460
_cell_length_c 6.4736
_cell_angle_alpha 90.00
_cell_angle_beta 90.00
_cell_angle_gamma 90.00
_space_group_name_H-M_alt 'P m m m'
_space_group_IT_number 47
loop_
_space_group_symop_operation_xyz
'x,y,z'
'-x,-y,-z'
'-x,-y,z'
'x,y,-z'
'x,-y,-z'
'-x,y,z'
'-x,y,-z'
'x,-y,z'
loop_
_atom_site_label
_atom_site_type_symbol
_atom_site_fract_x
_atom_site_fract_y
_atom_site_fract_z
Ta1 Ta 0.0000 0.0000 0.0000
Tl1 Tl 0.5000 0.5000 0.2479
Au1 Au 0.0000 0.0000 0.5000
```

Output
offset from the most stable computed form	46.6	meV/atom
E	-19.70	eV/cell
formation energy from the elements	2.0	eV per formula unit

---

(3)
Compound: TaTl2Au
Source: the Alexandria database
Functional: PBEsol
Structure: relaxed

The structure in CIF format:
```
data_TaTl2Au
_cell_length_a 3.0112
_cell_length_b 5.2179
_cell_length_c 5.3089
_cell_angle_alpha 90.00
_cell_angle_beta 90.00
_cell_angle_gamma 90.00
_space_group_name_H-M_alt 'P m m m'
_space_group_IT_number 47
loop_
_space_group_symop_operation_xyz
'x,y,z'
'-x,-y,-z'
'-x,-y,z'
'x,y,-z'
'x,-y,-z'
'-x,y,z'
'-x,y,-z'
'x,-y,z'
loop_
_atom_site_label
_atom_site_type_symbol
_atom_site_fract_x
_atom_site_fract_y
_atom_site_fract_z
Ta1 Ta 0.0000 0.0000 0.0000
Tl1 Tl 0.0000 0.5000 0.5000
Tl2 Tl 0.5000 0.5000 0.0000
Au1 Au 0.5000 0.0000 0.5000
```

Output
offset from the most stable computed form	0.0	meV/atom
E	-19.89	eV/cell
formation energy from the elements	1.8	eV per formula unit

---

(4)
Compound: TaTlAu2
Source: the Alexandria database
Functional: PBEsol
Structure: relaxed

The structure in CIF format:
```
data_TaTlAu2
_cell_length_a 3.0322
_cell_length_b 3.0322
_cell_length_c 28.8388
_cell_angle_alpha 90.00
_cell_angle_beta 90.00
_cell_angle_gamma 120.00
_space_group_name_H-M_alt 'R -3 m'
_space_group_IT_number 166
_space_group_name_Hall '-R 3 2"'
loop_
_atom_site_label
_atom_site_type_symbol
_atom_site_fract_x
_atom_site_fract_y
_atom_site_fract_z
Ta1 Ta 0.0000 0.0000 0.0000
Tl1 Tl 0.0000 0.0000 0.5000
Au1 Au 0.0000 0.0000 0.2566
```

Output
E	-67.44	eV/cell
formation energy from the elements	0.5	eV per formula unit

---

Number 1: V 21.04 Å³ per atom, size of the total moment 0.00 μB per atom. Number 2: V 20.12 Å³ per atom, size of the total moment 0.00 μB per atom. Number 3: V 20.85 Å³ per atom, size of the total moment 0.00 μB per atom. Number 4: V 19.14 Å³ per atom, size of the total moment 0.00 μB per atom.